Computed, not measured: Cs2SbWO6 after structural relaxation at the PBE with a Hubbard U level of DFT.

As for the density: 7.28 Mg/m³. The total magnetic moment comes out at 0.000 Bohr magnetons per cell. The value obtained for the calculated total energy is -0.4284 Ry/atom.

The structure belongs to space group I4/mmm (No. 139); the cell edges are 6.002, 6.002 and 8.457 Å and the angles 90.00°, 90.00° and 90.00°. The asymmetric unit holds Cs at (0.000, 0.500, 0.250), Sb at (0.000, 0.000, 0.000), W at (0.000, 0.000, 0.500), O at (0.000, 0.000, 0.265) and O at (0.234, 0.234, 0.500).